This record from the Alexandria database describes an optimized crystal structure of Sb2As2Rh3. The functional is PBE.

Results
As for the formation energy from raw total energies: -9.7 kcal/mol of atoms. The calculation puts the density of states at the Fermi level at 8.48 states/eV per cell.

Cell and atoms, written as CIF:
```
data_Sb2As2Rh3
_chemical_formula_sum 'Sb4 As4 Rh6'
_cell_length_a 6.691
_cell_length_b 6.764
_cell_length_c 6.621
_cell_angle_alpha 90.00
_cell_angle_beta 113.52
_cell_angle_gamma 90.00
_symmetry_space_group_name_H-M 'P 1 21/c 1'
_symmetry_Int_Tables_number 14
loop_
_symmetry_equiv_pos_as_xyz
'x,y,z'
'-x,-y,-z'
'-x,y+1/2,-z+1/2'
'x,-y+1/2,z+1/2'
loop_
_atom_site_label
_atom_site_fract_x
_atom_site_fract_y
_atom_site_fract_z
Sb1 0.132 0.156 0.398
As1 0.364 0.659 0.662
Rh1 0.000 0.000 0.000
Rh2 0.306 0.519 0.294
```


This record from the Alexandria database describes an optimized crystal structure of Ce4TcGe. The functional is PBE.

Results
Its energy of formation is -296 meV per atom. The calculation puts the density of states at the Fermi level at 28.93 states/eV per cell. The relative energy among the computed polymorphs is 18 kJ/mol of formula units.

Cell and atoms, written as CIF:
```
data_Ce4TcGe
_chemical_formula_sum 'Ce8 Tc2 Ge2'
_cell_length_a 5.799
_cell_length_b 6.495
_cell_length_c 7.941
_cell_angle_alpha 90.00
_cell_angle_beta 100.75
_cell_angle_gamma 90.00
_symmetry_space_group_name_H-M 'P 1 21/m 1'
_symmetry_Int_Tables_number 11
loop_
_symmetry_equiv_pos_as_xyz
'x,y,z'
'-x,-y,-z'
'-x,y+1/2,-z'
'x,-y+1/2,z'
loop_
_atom_site_label
_atom_site_fract_x
_atom_site_fract_y
_atom_site_fract_z
Ce1 0.175 0.250 0.085
Ce2 0.199 0.750 0.386
Ce3 0.300 0.506 0.694
Tc1 0.240 0.250 0.384
Ge1 0.348 0.750 0.041
```


This record from the Alexandria database describes an optimized crystal structure of Zr4MoOs3. The functional is PBE.

Results
Its energy of formation is -394 meV per atom. The calculation puts the density of states at the Fermi level at 13.61 states/eV per cell.

Cell and atoms, written as CIF:
```
data_Zr4MoOs3
_chemical_formula_sum 'Zr8 Mo2 Os6'
_cell_length_a 4.653
_cell_length_b 4.653
_cell_length_c 13.246
_cell_angle_alpha 90.00
_cell_angle_beta 90.00
_cell_angle_gamma 90.00
_symmetry_space_group_name_H-M 'I 4/m m m'
_symmetry_Int_Tables_number 139
_symmetry_space_group_name_Hall '-I 4 2'
loop_
_atom_site_label
_atom_site_fract_x
_atom_site_fract_y
_atom_site_fract_z
Zr1 0.000 0.500 0.125
Mo1 0.000 0.000 0.000
Os1 0.000 0.000 0.250
Os2 0.000 0.000 0.500
```